5
Lattice="3.6838 0.0000 0.0000 0.0000 3.6838 0.0000 1.8419 1.8419 6.0208" Properties=species:S:1:pos:R:3 comment="TlGa2Fe2 PBE relaxed" magmom_total_mub_per_atom=0.770 de_polymorph_ev_per_atom=0.059 pbc="T T T"
Tl 0.0000 0.0000 0.0000
Fe 1.8419 1.8419 1.1898
Fe 3.6838 3.6838 4.8310
Ga 3.6838 1.8419 3.0104
Ga 1.8419 3.6838 3.0104


6
Lattice="3.7478 0.0000 0.0000 0.0000 4.0509 0.0000 0.0000 0.0000 6.1283" Properties=species:S:1:pos:R:3 comment="CuSi2 PBE relaxed" magmom_total_mub_per_atom=0.000 dft_energy_ry_per_atom=-0.34650 pbc="T T T"
Cu 0.0000 0.0000 0.0000
Cu 1.8739 2.0255 3.0641
Si 0.0000 0.8074 3.9435
Si 0.0000 3.2435 2.1848
Si 1.8739 2.8329 5.2489
Si 1.8739 1.2180 0.8793


12
Lattice="-4.9465 8.5615 -3.5692 -2.8300 -9.5222 -3.4386 -2.7535 -0.2999 3.0967" Properties=species:S:1:pos:R:3 comment="MgAs PBE relaxed" magmom_total_mub_per_atom=0.000 de_polymorph_ev_per_atom=0.356 pbc="T T T"
Mg -4.5664 4.7061 -2.2111
Mg -6.9036 -2.0511 -2.1567
Mg -6.5953 1.8794 -4.2889
Mg -5.9636 -5.9667 -1.7000
Mg -3.6264 0.7905 -1.7544
Mg -3.9347 -3.1400 0.3778
As -6.5055 4.6327 -3.9424
As -7.7176 -4.3331 -3.1014
As -5.4702 -0.3293 -3.5024
As -4.0246 -5.8933 0.0312
As -2.8124 3.0724 -0.8097
As -5.0598 -0.9313 -0.4087


4
Lattice="-0.0747 3.4094 0.8862 -1.4416 2.3574 -2.1862 -10.4013 0.4281 4.4808" Properties=species:S:1:pos:R:3 comment="Pr2TmCu PBE relaxed" magmom_total_mub_per_atom=0.000 de_polymorph_ev_per_atom=0.302 pbc="T T T"
Pr -7.3841 0.8837 2.9825
Pr -4.5336 5.3112 0.1983
Tm 0.0000 0.0000 0.0000
Cu -5.9588 3.0974 1.5904


3
Lattice="-1.4300 1.4300 4.0556 1.4300 -1.4300 4.0556 1.4300 1.4300 -4.0556" Properties=species:S:1:pos:R:3 comment="Ni2P PBE relaxed" magmom_total_mub_per_atom=0.000 dft_energy_ry_per_atom=-0.43243 pbc="T T T"
Ni 0.0000 0.0000 2.8331
Ni 0.0000 0.0000 5.2781
P 0.0000 0.0000 0.0000


4
Lattice="-2.6680 0.5752 -1.3318 0.4277 -2.9997 0.2053 -4.3095 -0.0243 8.6226" Properties=species:S:1:pos:R:3 comment="MgZr2Mo PBE relaxed" magmom_total_mub_per_atom=0.000 de_polymorph_ev_per_atom=0.071 pbc="T T T"
Mo -4.3523 -1.2305 5.9037
Mg -2.1976 -1.2183 1.5924
Zr -4.1865 -0.0236 8.3765
Zr -2.2778 -0.0128 4.5575


What did the sixth record say?
4
Lattice="-2.6680 0.5752 -1.3318 0.4277 -2.9997 0.2053 -4.3095 -0.0243 8.6226" Properties=species:S:1:pos:R:3 comment="MgZr2Mo PBE relaxed" magmom_total_mub_per_atom=0.000 de_polymorph_ev_per_atom=0.071 pbc="T T T"
Mo -4.3523 -1.2305 5.9037
Mg -2.1976 -1.2183 1.5924
Zr -4.1865 -0.0236 8.3765
Zr -2.2778 -0.0128 4.5575